1.
SmZn6Cu2 | GGA-PBE | optimized geometry

Cell and atoms, written as POSCAR:
```
SmZn6Cu2
1.0
-7.2325 -2.3033 2.6706
-4.4186 -5.1685 -4.3022
-1.1054 -7.5190 2.6437
Sm Zn Cu
2 12 4
direct
0.5000 0.5000 0.5000
0.7500 0.7500 0.7500
0.2376 0.2376 0.7624
0.7624 0.7624 0.2376
0.2376 0.7624 0.2376
0.2376 0.7624 0.7624
0.4876 0.4876 0.0124
0.4876 0.0124 0.0124
0.7624 0.2376 0.7624
0.0124 0.0124 0.4876
0.4876 0.0124 0.4876
0.0124 0.4876 0.4876
0.7624 0.2376 0.2376
0.0124 0.4876 0.0124
0.1250 0.1250 0.1250
0.1250 0.6250 0.1250
0.1250 0.1250 0.6250
0.6250 0.1250 0.1250
```

space-group type: Fd-3m, No. 227
total DFT energy (no corrections): -2.045 eV per atom

=====

2.
SrZn2Ir | GGA-PBE | optimized geometry

Cell and atoms, written as POSCAR:
```
SrZn2Ir
1.0
-1.6185 2.1512 3.4818
2.1846 -0.0322 3.8206
2.8781 5.1591 0.9418
Sr Zn Ir
1 2 1
direct
0.7567 0.7567 0.7309
0.9463 0.9463 0.1608
0.2324 0.2324 0.3024
0.5646 0.5646 0.3059
```

space-group type: Cm, No. 8
total DFT energy (no corrections): -3.570 eV per atom

=====

3.
Cd2CuNiPb | GGA-PBE | optimized geometry

Cell and atoms, written as POSCAR:
```
Cd2CuNiPb
1.0
-4.1419 -3.7062 0.9496
3.1671 -3.7263 -0.7294
1.2624 -0.0028 5.4954
Pb Ni Cu Cd
1 1 1 2
direct
0.0000 0.0000 0.0000
0.5000 0.5000 0.5000
0.0000 0.5000 0.0000
0.0000 0.0000 0.5000
0.5000 0.0000 0.0000
```

space-group type: P4/mmm, No. 123
total DFT energy (no corrections): -1.946 eV per atom

=====

4.
LaYCd2 | GGA-PBE | optimized geometry

Cell and atoms, written as POSCAR:
```
LaYCd2
1.0
8.6400 0.0000 0.0000
0.0000 8.6400 0.0000
4.3200 4.3200 3.2919
Y Cd La
2 4 2
direct
0.5000 0.5000 0.0000
0.2500 0.7500 0.5000
0.6080 0.1250 0.2500
0.1420 0.6250 0.2500
0.3750 0.3920 0.7500
0.8750 0.8580 0.7500
0.0000 0.0000 0.0000
0.7500 0.2500 0.5000
```

space-group type: I-42d, No. 122
total DFT energy (no corrections): -3.248 eV per atom

=====

5.
Ti3In3Pd2 | GGA-PBE | optimized geometry

Cell and atoms, written as POSCAR:
```
Ti3In3Pd2
1.0
4.2537 0.0000 0.0000
0.0000 4.2379 -0.2942
-2.1268 -1.5671 8.1104
Ti In Pd
3 3 2
direct
0.6347 0.1345 0.2693
0.5000 0.5000 0.0000
0.3653 0.8655 0.7307
0.1346 0.6345 0.2692
0.8654 0.3655 0.7308
0.0000 0.0000 0.0000
0.2505 0.2504 0.5011
0.7495 0.7496 0.4989
```

space-group type: Immm, No. 71
total DFT energy (no corrections): -5.616 eV per atom

=====

6.
CdSnH2S | GGA-PBE | optimized geometry

Cell and atoms, written as POSCAR:
```
CdSnH2S
1.0
-2.5715 -2.5533 -1.5948
3.7225 -1.1446 -4.1699
1.5461 -2.9199 2.1817
H S Sn Cd
2 1 1 1
direct
0.0000 0.0000 0.5000
0.5000 0.0000 0.0000
0.0000 0.5000 0.0000
0.0000 0.0000 0.0000
0.5000 0.5000 0.5000
```

space-group type: P4/mmm, No. 123
total DFT energy (no corrections): -3.049 eV per atom